## Sr2SeCl (GGA-PBEsol)

Data for Sr2SeCl after structural relaxation.

Values from the calculation:
total moment = 1.720 μB per cell
polymorph energy (0 for the lowest one) = 88.4 kJ/mol of atoms
ΔE_f (raw) = -0.8815 eV per atom
crystal system = cubic
V = 27.0 Å³ per atom

Cell: 7.5566 7.5566 7.5566 Å, 90.00 90.00 90.00°
Last column: nearest neighbours and their distance in Å.
Space group F-43m (No. 216)
Symmetry-distinct sites (fractional):
1 Sr 0.0000 0.0000 0.0000 (multiplicity 4)  4 Cl 3.27, 4 Sr 3.27
2 Sr 0.2500 0.2500 0.2500 (multiplicity 4)  4 Se 3.27, 4 Sr 3.27
3 Se 0.0000 0.0000 0.5000 (multiplicity 4)  4 Cl 3.27, 4 Sr 3.27
4 Cl 0.2500 0.2500 0.7500 (multiplicity 4)  4 Se 3.27, 4 Sr 3.27